1.
Sm2OsO8: optimized geometry, GGA-PBE.

Energy relative to the elements, uncorrected = -1.57 eV/atom
Crystal system = monoclinic

a = 3.705 Å, b = 4.828 Å, c = 8.155 Å
α = 107.33°, β = 103.13°, γ = 90.00°
Sites, in units of the cell vectors:
1 Sm 0.821 0.328 0.643
2 Sm 0.179 0.672 0.357
3 O 0.037 0.226 0.073
4 O 0.425 0.589 0.849
5 O 0.399 0.093 0.797
6 O 0.575 0.411 0.151
7 O 0.601 0.907 0.203
8 O 0.963 0.774 0.927
9 O 0.233 0.244 0.465
10 O 0.767 0.756 0.535
11 Os 0.500 0.000 0.000

2.
Sm3OsO7: optimized geometry, GGA-PBE.

Energy relative to the elements, uncorrected = -2.69 eV/atom
Crystal system = orthorhombic

a = 6.609 Å, b = 6.609 Å, c = 7.558 Å
α = 90.00°, β = 90.00°, γ = 108.87°
Sites, in units of the cell vectors:
1 Sm 0.474 0.474 0.500
2 Sm 0.999 0.535 0.745
3 Sm 0.526 0.526 0.000
4 Sm 0.535 0.999 0.255
5 Sm 0.001 0.465 0.245
6 Sm 0.465 0.001 0.755
7 O 0.922 0.680 0.025
8 O 0.370 0.630 0.250
9 O 0.637 0.363 0.250
10 O 0.306 0.058 0.034
11 O 0.078 0.320 0.525
12 O 0.694 0.942 0.534
13 O 0.363 0.637 0.750
14 O 0.680 0.922 0.975
15 O 0.942 0.694 0.466
16 O 0.066 0.934 0.750
17 O 0.320 0.078 0.475
18 O 0.630 0.370 0.750
19 O 0.058 0.306 0.966
20 O 0.934 0.066 0.250
21 Os 0.999 0.999 0.000
22 Os 0.001 0.001 0.500

3.
Sm2OsO6: optimized geometry, GGA-PBE.

Energy relative to the elements, uncorrected = -2.30 eV/atom
Crystal system = tetragonal
Energy relative to the lowest polymorph listed for this composition = 0.0586 eV per atom

a = 5.084 Å, b = 5.084 Å, c = 10.209 Å
α = 90.00°, β = 90.00°, γ = 90.00°
Sites, in units of the cell vectors:
1 O 0.316 0.316 0.358
2 O 0.732 0.732 0.000
3 O 0.184 0.816 0.142
4 O 0.316 0.316 0.642
5 O 0.816 0.184 0.142
6 O 0.232 0.768 0.500
7 O 0.184 0.816 0.858
8 O 0.684 0.684 0.358
9 O 0.768 0.232 0.500
10 O 0.268 0.268 0.000
11 O 0.816 0.184 0.858
12 O 0.684 0.684 0.642
13 Os 0.500 0.500 0.500
14 Os 0.000 0.000 0.000
15 Sm 0.000 0.000 0.330
16 Sm 0.500 0.500 0.170
17 Sm 0.500 0.500 0.830
18 Sm 0.000 0.000 0.670

4.
Sm2OsO: optimized geometry, GGA-PBE.

Energy relative to the elements, uncorrected = -0.61 eV/atom
Crystal system = trigonal

a = 3.318 Å, b = 3.318 Å, c = 8.487 Å
α = 78.73°, β = 78.73°, γ = 60.00°
Sites, in units of the cell vectors:
1 Os 0.000 0.000 0.000
2 Sm 0.895 0.895 0.315
3 Sm 0.105 0.105 0.685
4 O 0.500 0.500 0.500